# PBE HoAl, optimized geometry
data_HoAl
_chemical_formula_sum 'Ho2 Al2'
_symmetry_space_group_name_H-M 'P 1'
_symmetry_Int_Tables_number 1
_symmetry_space_group_name_Hall 'P 1'
_cell_length_a 5.230
_cell_length_b 5.230
_cell_length_c 3.397
_cell_angle_alpha 90.00
_cell_angle_beta 90.00
_cell_angle_gamma 97.06
loop_
_atom_site_label
_atom_site_type_symbol
_atom_site_fract_x
_atom_site_fract_y
_atom_site_fract_z
_atom_site_occupancy
Ho1 Ho 0.224 0.776 0.000 1
Ho2 Ho 0.776 0.224 0.000 1
Al1 Al 0.290 0.290 0.500 1
Al2 Al 0.710 0.710 0.500 1
# - Magnetic moment: 0.00 μB per formula unit
# - Calculated formation energy: -0.40 eV/atom